This record from Alexandria describes a relaxed structure of Nd3HoIn12. The functional is PBE.

Structure (POSCAR):
```
Nd3HoIn12
1.0
4.693 0.000 0.000
0.000 4.693 0.000
0.000 0.000 18.845
Nd Ho In
3 1 12
direct
0.000 0.000 0.000
0.000 0.000 0.253
0.000 0.000 0.747
0.000 0.000 0.500
0.000 0.500 0.126
0.000 0.500 0.379
0.000 0.500 0.621
0.000 0.500 0.874
0.500 0.000 0.126
0.500 0.000 0.379
0.500 0.000 0.621
0.500 0.000 0.874
0.500 0.500 0.000
0.500 0.500 0.251
0.500 0.500 0.500
0.500 0.500 0.749
```

* calculated volume: 415 Å³ per cell
* N(E_F): 9.9 states/eV per cell
* density: 7.90 g/cm³
* energy of formation: -0.4474 eV per atom
* space group: No. 123